GdSbPt4 | Alexandria | PBE | optimized geometry; DFT total energy = -46.463 eV per formula unit; space-group type = F-43m (216); D(E_F) = 1.582 states/eV per cell
1.0
0.000 3.841 3.841
3.841 0.000 3.841
3.841 3.841 0.000
Gd Sb Pt
1 1 4
Direct
0.000 0.000 0.000
0.750 0.750 0.750
0.375 0.375 0.375
0.375 0.375 0.875
0.375 0.875 0.375
0.875 0.375 0.375